Record 1
# Tm2InH2

A geometry-optimized Tm2InH2 structure (PBE-GGA, Alexandria).

Unit cell a=3.6404 b=3.6404 c=6.7687 alpha=105.60 beta=105.60 gamma=90.00
Last column: nearest neighbours and their distance in Å.
Atoms (fractional coordinates):
Tm 0.6520 0.6520 0.3040  4 H 2.20
Tm 0.3480 0.3480 0.6960  4 H 2.20
In 0.0000 0.0000 0.0000  8 Tm 3.20
H 0.7500 0.2500 0.5000  4 Tm 2.20
H 0.2500 0.7500 0.5000  4 Tm 2.20

Results
SG   No. 139
Uncorrected energy   -4.302 eV per atom

---

Record 2
# Tm2In2H

A geometry-optimized Tm2In2H structure (PBE-GGA, Alexandria).

Unit cell a=3.6553 b=9.9891 c=6.2967 alpha=90.00 beta=106.87 gamma=90.00
Last column: nearest neighbours and their distance in Å.
Atoms (fractional coordinates):
Tm 0.4516 0.3671 0.9032  1 H 2.09
Tm 0.8546 0.0946 0.7091  2 H 2.07
Tm 0.1454 0.5946 0.2909  2 H 2.07
Tm 0.5484 0.8671 0.0968  1 H 2.09
In 0.8865 0.6492 0.7730  2 H 3.05, 2 In 3.10, 1 Tm 3.17
In 0.7269 0.3593 0.4538  6 Tm 3.06-3.32, 2 In 3.10
In 0.2731 0.8593 0.5462  6 Tm 3.06-3.32, 2 In 3.10
In 0.1135 0.1492 0.2270  2 H 3.05, 2 In 3.10, 1 Tm 3.17
H 0.4112 0.1641 0.8224  3 Tm 2.07-2.09
H 0.5888 0.6641 0.1776  3 Tm 2.07-2.09

Results
SG   No. 36
Uncorrected energy   -3.951 eV per atom

---

Record 3
# TmInH

A geometry-optimized TmInH structure (PBE-GGA, Alexandria).

Unit cell a=3.5467 b=3.5467 c=5.2838 alpha=90.00 beta=90.00 gamma=120.00
Last column: nearest neighbours and their distance in Å.
Atoms (fractional coordinates):
H 0.3333 0.6667 0.5005  3 Tm 2.05
Tm 0.6667 0.3333 0.4997  3 H 2.05
In 0.0000 0.0000 0.9998  6 H 3.34-3.35, 6 Tm 3.34, 6 In 3.55

Results
Distance to the lowest polymorph of the same formula   0.000 eV/atom
SG   No. 187

---

Record 4
# TmInH

A geometry-optimized TmInH structure (PBE-GGA, Alexandria).

Unit cell a=3.5294 b=5.7504 c=6.4689 alpha=117.17 beta=105.99 gamma=89.93
Last column: nearest neighbours and their distance in Å.
Atoms (fractional coordinates):
H 0.7113 0.5576 0.9239  3 Tm 2.04-2.06, 2 H 2.25
H 0.2887 0.4424 0.0761  3 Tm 2.04-2.06, 2 H 2.25
Tm 0.8812 0.5714 0.2603  3 H 2.04-2.06
Tm 0.1188 0.4286 0.7397  3 H 2.04-2.06
In 0.6297 0.9429 0.7571  4 H 2.86-3.18
In 0.3703 0.0571 0.2429  4 H 2.86-3.18

Results
Distance to the lowest polymorph of the same formula   0.011 eV/atom
SG   No. 2